Record 1
AcCe2Ga: relaxed, GGA-PBE.

The structure in CIF format:
```
data_AcCe2Ga
_chemical_formula_sum 'Ac4 Ce8 Ga4'
_space_group_name_H-M_alt 'F m -3 m'
_space_group_IT_number 225
_space_group_name_Hall '-F 4 2 3'
_cell_length_a 7.749
_cell_length_b 7.749
_cell_length_c 7.749
_cell_angle_alpha 90.00
_cell_angle_beta 90.00
_cell_angle_gamma 90.00
loop_
_atom_site_label
_atom_site_type_symbol
_atom_site_fract_x
_atom_site_fract_y
_atom_site_fract_z
Ac1 Ac 0.000 0.000 0.000
Ce1 Ce 0.250 0.250 0.250
Ga1 Ga 0.000 0.000 0.500
```

relative energy among the computed polymorphs	0.2569	eV/atom
formation enthalpy at 0 K	88	meV per atom


Record 2
GePb3N: relaxed, GGA-PBE.

The structure in CIF format:
```
data_GePb3N
_chemical_formula_sum 'Ge1 Pb3 N1'
_space_group_name_H-M_alt 'P m -3 m'
_space_group_IT_number 221
_space_group_name_Hall '-P 4 2 3'
_cell_length_a 5.013
_cell_length_b 5.013
_cell_length_c 5.013
_cell_angle_alpha 90.00
_cell_angle_beta 90.00
_cell_angle_gamma 90.00
loop_
_atom_site_label
_atom_site_type_symbol
_atom_site_fract_x
_atom_site_fract_y
_atom_site_fract_z
Ge1 Ge 0.000 0.000 0.000
Pb1 Pb 0.000 0.500 0.500
N1 N 0.500 0.500 0.500
```

uncorrected formation energy	279	kJ/mol of formula units
relative energy among the computed polymorphs	0.0000	eV/atom


Record 3
La3Tl: relaxed, GGA-PBE.

The structure in CIF format:
```
data_La3Tl
_chemical_formula_sum 'La3 Tl1'
_space_group_name_H-M_alt 'P m -3 m'
_space_group_IT_number 221
_space_group_name_Hall '-P 4 2 3'
_cell_length_a 5.069
_cell_length_b 5.069
_cell_length_c 5.069
_cell_angle_alpha 90.00
_cell_angle_beta 90.00
_cell_angle_gamma 90.00
loop_
_atom_site_label
_atom_site_type_symbol
_atom_site_fract_x
_atom_site_fract_y
_atom_site_fract_z
La1 La 0.000 0.000 0.500
Tl1 Tl 0.500 0.500 0.500
```

relative energy among the computed polymorphs	0.0000	eV/atom
formation enthalpy at 0 K	-243	meV per atom


Record 4
TlHgRuBr6: relaxed, GGA-PBE.

The structure in CIF format:
```
data_TlHgRuBr6
_chemical_formula_sum 'Tl1 Hg1 Ru1 Br6'
_space_group_name_H-M_alt 'P 3 1 2'
_space_group_IT_number 149
_cell_length_a 7.1318
_cell_length_b 7.1318
_cell_length_c 6.9914
_cell_angle_alpha 90.00
_cell_angle_beta 90.00
_cell_angle_gamma 120.00
loop_
_space_group_symop_operation_xyz
'x,y,z'
'-y,x-y,z'
'-x+y,-x,z'
'-y,-x,-z'
'-x+y,y,-z'
'x,x-y,-z'
loop_
_atom_site_label
_atom_site_type_symbol
_atom_site_fract_x
_atom_site_fract_y
_atom_site_fract_z
Tl1 Tl 0.0000 0.0000 0.0000
Hg1 Hg 0.3333 0.6667 0.5000
Ru1 Ru 0.6667 0.3333 0.5000
Br1 Br 0.3866 0.0388 0.2910
```

uncorrected formation energy	-375	kJ/mol of formula units


Record 5
TlCO4: relaxed, GGA-PBE.

The structure in CIF format:
```
data_TlCO4
_chemical_formula_sum 'Tl2 C2 O8'
_space_group_name_H-M_alt 'P b a n'
_space_group_IT_number 50
_cell_length_a 4.994
_cell_length_b 6.097
_cell_length_c 4.167
_cell_angle_alpha 90.00
_cell_angle_beta 90.00
_cell_angle_gamma 90.00
loop_
_space_group_symop_operation_xyz
'x,y,z'
'-x,-y,-z'
'-x+1/2,-y+1/2,z'
'x+1/2,y+1/2,-z'
'x,-y+1/2,-z'
'-x,y+1/2,z'
'-x+1/2,y,-z'
'x+1/2,-y,z'
loop_
_atom_site_label
_atom_site_type_symbol
_atom_site_fract_x
_atom_site_fract_y
_atom_site_fract_z
Tl1 Tl 0.250 0.250 0.000
C1 C 0.250 0.750 0.500
O1 O 0.095 0.616 0.300
```

uncorrected formation energy	-335	kJ/mol of formula units
relative energy among the computed polymorphs	0.0000	eV/atom


Record 6
Nd6AgHg5: relaxed, GGA-PBE.

The structure in CIF format:
```
data_Nd6AgHg5
_chemical_formula_sum 'Nd12 Ag2 Hg10'
_space_group_name_H-M_alt 'I m m m'
_space_group_IT_number 71
_space_group_name_Hall '-I 2 2'
_cell_length_a 5.400
_cell_length_b 7.659
_cell_length_c 16.190
_cell_angle_alpha 90.00
_cell_angle_beta 90.00
_cell_angle_gamma 90.00
loop_
_atom_site_label
_atom_site_type_symbol
_atom_site_fract_x
_atom_site_fract_y
_atom_site_fract_z
Nd1 Nd 0.000 0.247 0.000
Nd2 Nd 0.000 0.252 0.334
Ag1 Ag 0.000 0.500 0.500
Hg1 Hg 0.000 0.000 0.167
Hg2 Hg 0.000 0.000 0.500
Hg3 Hg 0.000 0.500 0.167
```

relative energy among the computed polymorphs	0.0000	eV/atom
formation enthalpy at 0 K	-436	meV per atom


In order of appearance, magnetic moment = 2.4 0.0 0.0 1.0 1.0 2.3 μB per formula unit.